[1]
This record from the Alexandria database describes a geometry-optimized CeZr2O6 structure. The functional is PBEsol.

Cell: 3.6802 3.6802 8.8879 Å, 90.00 90.00 120.00°
Sites, in units of the cell vectors:
Ce  0.0000  0.0000  0.0000
Zr  0.6667  0.3333  0.3417
Zr  0.3333  0.6667  0.6583
O  0.0000  0.0000  0.7338
O  0.6667  0.3333  0.0947
O  0.3333  0.6667  0.4186
O  0.3333  0.6667  0.9053
O  0.0000  0.0000  0.2662
O  0.6667  0.3333  0.5814

Computed properties:
V: 104.2 Å³ per cell
Symmetry: P-3m1
Spin magnetization: 0.00 Bohr magnetons per cell
Raw total energy: -87.15 eV/f.u.
N(E_F): 0.00 states/eV per cell
Formation energy without anion corrections: -3.430 eV/atom



[2]
This record from the Alexandria database describes a geometry-optimized CeZrO4 structure. The functional is PBEsol.

Cell: 5.2333 5.2965 5.2965 Å, 90.00 90.00 90.00°
Sites, in units of the cell vectors:
O  0.2425  0.7826  0.2826
O  0.7575  0.7826  0.7174
O  0.2425  0.7174  0.7826
O  0.7575  0.2826  0.7826
O  0.2425  0.2174  0.7174
O  0.7575  0.7174  0.2174
O  0.7575  0.2174  0.2826
O  0.2425  0.2826  0.2174
Zr  0.0000  0.0000  0.5000
Zr  0.0000  0.5000  0.0000
Ce  0.5000  0.0000  0.0000
Ce  0.5000  0.5000  0.5000

Computed properties:
V: 146.8 Å³ per cell
Symmetry: P4/nbm
Spin magnetization: 0.00 Bohr magnetons per cell
Raw total energy: -57.33 eV/f.u.
N(E_F): 0.00 states/eV per cell
Formation energy without anion corrections: -3.441 eV/atom



[3]
This record from the Alexandria database describes a geometry-optimized CeZr7O16 structure. The functional is PBEsol.

Cell: 6.3408 7.2341 7.2920 Å, 119.74 107.57 90.00°
Sites, in units of the cell vectors:
Ce  0.0012  0.0002  0.0004
Zr  0.5019  0.7493  0.0019
Zr  0.5028  0.2528  0.5056
Zr  0.0029  0.4984  0.9968
Zr  0.5019  0.2526  0.0019
Zr  0.9975  0.9952  0.4972
Zr  0.4951  0.7491  0.4983
Zr  0.9975  0.5020  0.4972
O  0.3677  0.0760  0.1521
O  0.1015  0.2017  0.4034
O  0.6481  0.9279  0.3519
O  0.1496  0.6696  0.8503
O  0.8910  0.7903  0.1094
O  0.4002  0.5502  0.6001
O  0.1144  0.7045  0.4090
O  0.3517  0.5744  0.1488
O  0.5898  0.4453  0.8905
O  0.8500  0.3256  0.6512
O  0.6481  0.4240  0.3519
O  0.4002  0.0499  0.6001
O  0.1496  0.1806  0.8503
O  0.8910  0.3192  0.1094
O  0.5976  0.9466  0.8933
O  0.8488  0.8146  0.6291

Computed properties:
V: 272.3 Å³ per cell
Symmetry: Cm
Spin magnetization: 0.00 Bohr magnetons per cell
Raw total energy: -237.01 eV/f.u.
N(E_F): 0.00 states/eV per cell
Formation energy without anion corrections: -3.450 eV/atom
Distance to the lowest polymorph of the same formula: 11 meV/atom



[4]
This record from the Alexandria database describes a geometry-optimized CeZr7O16 structure. The functional is PBEsol.

Cell: 5.1904 7.2405 7.2405 Å, 90.00 90.00 90.00°
Sites, in units of the cell vectors:
Ce  0.0000  0.0000  0.0000
Zr  0.5000  0.7473  0.2527
Zr  0.9977  0.5000  0.0000
Zr  0.5000  0.2527  0.2527
Zr  0.0023  0.0000  0.5000
Zr  0.5000  0.7473  0.7473
Zr  0.0000  0.5000  0.5000
Zr  0.5000  0.2527  0.7473
O  0.7772  0.0000  0.2673
O  0.7059  0.7521  0.0000
O  0.2228  0.7327  0.0000
O  0.2941  0.0000  0.2479
O  0.7980  0.5000  0.2435
O  0.7059  0.2479  0.0000
O  0.2228  0.2673  0.0000
O  0.2978  0.5000  0.2693
O  0.7772  0.0000  0.7327
O  0.7022  0.7307  0.5000
O  0.2020  0.7565  0.5000
O  0.2941  0.0000  0.7521
O  0.7980  0.5000  0.7565
O  0.7022  0.2693  0.5000
O  0.2020  0.2435  0.5000
O  0.2978  0.5000  0.7307

Computed properties:
V: 272.1 Å³ per cell
Symmetry: P-4m2
Spin magnetization: 0.00 Bohr magnetons per cell
Raw total energy: -237.08 eV/f.u.
N(E_F): 0.00 states/eV per cell
Formation energy without anion corrections: -3.453 eV/atom
Distance to the lowest polymorph of the same formula: 8 meV/atom



[5]
This record from the Alexandria database describes a geometry-optimized CeZrO4 structure. The functional is PBEsol.

Cell: 7.4017 7.4017 7.4017 Å, 60.00 60.00 60.00°
Sites, in units of the cell vectors:
Ce  0.6250  0.1250  0.1250
Ce  0.1250  0.6250  0.1250
Ce  0.1250  0.1250  0.6250
Ce  0.1250  0.1250  0.1250
Zr  0.1250  0.6250  0.6250
Zr  0.6250  0.1250  0.6250
Zr  0.6250  0.6250  0.1250
Zr  0.6250  0.6250  0.6250
O  0.2500  0.2500  0.2500
O  0.7405  0.7405  0.2595
O  0.7405  0.2595  0.7405
O  0.7405  0.2595  0.2595
O  0.9905  0.9905  0.5095
O  0.5000  0.5000  0.5000
O  0.9905  0.5095  0.9905
O  0.9905  0.5095  0.5095
O  0.7500  0.7500  0.7500
O  0.2595  0.2595  0.7405
O  0.2595  0.7405  0.2595
O  0.2595  0.7405  0.7405
O  0.5095  0.5095  0.9905
O  0.0000  0.0000  0.0000
O  0.5095  0.9905  0.5095
O  0.5095  0.9905  0.9905

Computed properties:
V: 286.7 Å³ per cell
Symmetry: Fd-3m
Spin magnetization: 0.00 Bohr magnetons per cell
Raw total energy: -57.26 eV/f.u.
N(E_F): 0.00 states/eV per cell
Formation energy without anion corrections: -3.429 eV/atom



[6]
This record from the Alexandria database describes a geometry-optimized CeZr3O8 structure. The functional is PBEsol.

Cell: 3.6511 6.3671 6.3671 Å, 110.41 90.00 90.00°
Sites, in units of the cell vectors:
Ce  0.5000  0.4983  0.5017
Zr  0.5000  0.0030  0.9970
Zr  0.0000  0.5053  0.0048
Zr  0.0000  0.9952  0.4947
O  0.0000  0.6177  0.3823
O  0.0000  0.1005  0.8995
O  0.5000  0.9065  0.6120
O  0.5000  0.3880  0.0935
O  0.5000  0.6511  0.8708
O  0.5000  0.1292  0.3489
O  0.0000  0.3501  0.6499
O  0.0000  0.8551  0.1449

Computed properties:
V: 138.7 Å³ per cell
Symmetry: Amm2
Spin magnetization: 0.00 Bohr magnetons per cell
Raw total energy: -117.09 eV/f.u.
N(E_F): 0.00 states/eV per cell
Formation energy without anion corrections: -3.436 eV/atom
Distance to the lowest polymorph of the same formula: 13 meV/atom



[7]
This record from the Alexandria database describes a geometry-optimized CeZrO4 structure. The functional is PBEsol.

Cell: 3.7271 3.7271 6.3359 Å, 72.89 72.89 60.00°
Sites, in units of the cell vectors:
O  0.3697  0.3697  0.8910
O  0.6303  0.6303  0.1090
O  0.8794  0.8794  0.3617
O  0.1206  0.1206  0.6383
Zr  0.0000  0.0000  0.0000
Ce  0.5000  0.5000  0.5000

Computed properties:
V: 71.7 Å³ per cell
Symmetry: R-3m
Spin magnetization: 0.00 Bohr magnetons per cell
Raw total energy: -57.27 eV/f.u.
N(E_F): 0.00 states/eV per cell
Formation energy without anion corrections: -3.431 eV/atom



[8]
This record from the Alexandria database describes a geometry-optimized Ce5Zr3O16 structure. The functional is PBEsol.

Cell: 5.3194 7.4960 7.4960 Å, 90.45 90.00 90.00°
Sites, in units of the cell vectors:
Ce  0.9919  0.5000  0.0000
Ce  0.5000  0.2433  0.2433
Ce  0.0081  0.0000  0.5000
Ce  0.5000  0.7567  0.7567
Ce  0.0000  0.5000  0.5000
Zr  0.0000  0.0000  0.0000
Zr  0.5000  0.7453  0.2547
Zr  0.5000  0.2547  0.7453
O  0.2852  0.9757  0.2506
O  0.2087  0.7647  0.9816
O  0.7148  0.7494  0.0243
O  0.7913  0.0184  0.2353
O  0.2697  0.5218  0.2417
O  0.2087  0.2353  0.0184
O  0.7148  0.2506  0.9757
O  0.7585  0.4874  0.2540
O  0.2852  0.0243  0.7494
O  0.2415  0.7460  0.5126
O  0.7303  0.7583  0.4782
O  0.7913  0.9816  0.7647
O  0.2697  0.4782  0.7583
O  0.2415  0.2540  0.4874
O  0.7303  0.2417  0.5218
O  0.7585  0.5126  0.7460

Computed properties:
V: 298.9 Å³ per cell
Symmetry: C222
Spin magnetization: 0.00 Bohr magnetons per cell
Raw total energy: -226.86 eV/f.u.
N(E_F): 0.00 states/eV per cell
Formation energy without anion corrections: -3.443 eV/atom



[9]
This record from the Alexandria database describes a geometry-optimized CeZr7O16 structure. The functional is PBEsol.

Cell: 6.8237 7.3714 7.3933 Å, 90.54 116.53 116.52°
Sites, in units of the cell vectors:
Ce  0.2936  0.5477  0.0160
Zr  0.2077  0.9804  0.9439
Zr  0.7130  0.9503  0.4941
Zr  0.7098  0.4385  0.9841
Zr  0.2054  0.4881  0.4469
Zr  0.7862  0.5120  0.5523
Zr  0.2888  0.0539  0.5122
Zr  0.7935  0.0126  0.0575
O  0.0203  0.8650  0.6082
O  0.1464  0.5308  0.6841
O  0.8541  0.9838  0.8087
O  0.3444  0.8055  0.4690
O  0.3525  0.2937  0.9643
O  0.9685  0.6365  0.8873
O  0.4735  0.3889  0.6338
O  0.4890  0.9046  0.1411
O  0.5212  0.0992  0.8580
O  0.5246  0.6119  0.3780
O  0.0081  0.3581  0.1150
O  0.6571  0.1981  0.5318
O  0.6638  0.6969  0.0205
O  0.1596  0.0326  0.1961
O  0.8392  0.4773  0.3018
O  0.9796  0.1338  0.3951

Computed properties:
V: 287.4 Å³ per cell
Symmetry: P1
Spin magnetization: 0.00 Bohr magnetons per cell
Raw total energy: -237.26 eV/f.u.
N(E_F): 0.00 states/eV per cell
Formation energy without anion corrections: -3.460 eV/atom
Distance to the lowest polymorph of the same formula: 0 meV/atom



[10]
This record from the Alexandria database describes a geometry-optimized CeZr3O8 structure. The functional is PBEsol.

Cell: 5.2422 5.2903 5.3704 Å, 89.63 81.35 89.59°
Sites, in units of the cell vectors:
Ce  0.7308  0.5300  0.7096
Zr  0.2765  0.0329  0.7959
Zr  0.2777  0.4533  0.2859
Zr  0.7214  0.9587  0.2112
O  0.5304  0.2431  0.9935
O  0.4448  0.7617  0.5171
O  0.4448  0.7446  0.0305
O  0.5508  0.2323  0.4754
O  0.9280  0.8565  0.8453
O  0.0999  0.3376  0.6503
O  0.0555  0.1786  0.1547
O  0.9393  0.6707  0.3306

Computed properties:
V: 147.2 Å³ per cell
Symmetry: P1
Spin magnetization: 0.00 Bohr magnetons per cell
Raw total energy: -117.10 eV/f.u.
N(E_F): 0.00 states/eV per cell
Formation energy without anion corrections: -3.436 eV/atom
Distance to the lowest polymorph of the same formula: 13 meV/atom



[11]
This record from the Alexandria database describes a geometry-optimized CeSi2Os2 structure. The functional is PBEsol.

Cell: 4.1505 4.1505 5.6662 Å, 111.48 111.48 90.00°
Sites, in units of the cell vectors:
Si  0.3722  0.3722  0.7443
Si  0.6278  0.6278  0.2557
Os  0.2500  0.7500  0.5000
Os  0.7500  0.2500  0.5000
Ce  0.0000  0.0000  0.0000

Computed properties:
V: 83.5 Å³ per cell
Symmetry: I4/mmm
Spin magnetization: 0.00 Bohr magnetons per cell
Raw total energy: -46.12 eV/f.u.
N(E_F): 4.74 states/eV per cell
Formation energy without anion corrections: -0.720 eV/atom



[12]
This record from the Alexandria database describes a geometry-optimized CeP2 structure. The functional is PBEsol.

Cell: 4.0069 6.1764 9.4866 Å, 90.00 96.60 90.00°
Last column: magnetic moment on the atom in μB.
Sites, in units of the cell vectors:
Ce  0.2839  0.1766  0.3664  0.27
Ce  0.7161  0.8234  0.6336  0.27
Ce  0.2161  0.6766  0.1336  0.27
Ce  0.7839  0.3234  0.8664  0.27
P  0.2847  0.6499  0.8206  0.00
P  0.7153  0.3501  0.1794  0.00
P  0.3481  0.1344  0.0545  0.00
P  0.1519  0.6344  0.4455  0.00
P  0.7847  0.8501  0.3206  0.00
P  0.8481  0.3656  0.5545  0.00
P  0.6519  0.8656  0.9455  0.00
P  0.2153  0.1499  0.6794  0.00

Computed properties:
V: 233.2 Å³ per cell
Symmetry: P2_1/c
Spin magnetization: 1.26 Bohr magnetons per cell
Raw total energy: -21.27 eV/f.u.
N(E_F): 15.30 states/eV per cell
Formation energy: -1.032 eV per atom



Question: Which value of raw total energy does entry 2 give?
Answer: -57.33 eV/f.u.